(1)
DFT (PBE) results for crystalline CdFe2Br8 at its relaxed geometry.

Lattice parameters (Å, degrees): 12.0389 10.6004 6.5198 90.00 94.76 90.00
With the nearest neighbours (Å) after each atom.
Space group C2/m (No. 12)
Unique sites:
Cd 0.0000 0.0000 0.0000 [2 per cell]  6 Br 2.81-2.87
Fe 0.2036 0.0000 0.6403 [4 per cell]  4 Br 2.29-2.40
Br 0.1062 0.1783 0.7644 [8 per cell]  1 Fe 2.40
Br 0.1117 0.5000 0.2395 [4 per cell]  1 Fe 2.29
Br 0.1991 0.0000 0.2747 [4 per cell]  1 Fe 2.38

* uncorrected formation energy: -0.564 eV/atom
* mass density: 3458 kg/m3

(2)
DFT (PBE) results for crystalline Cd2FeBr at its relaxed geometry.

Lattice parameters (Å, degrees): 7.0915 7.0915 7.0915 90.00 90.00 90.00
With the nearest neighbours (Å) after each atom.
Space group F-43m (No. 216)
Unique sites:
Cd 0.0000 0.0000 0.0000 [4 per cell]  4 Cd 3.07, 4 Br 3.07
Cd 0.2500 0.2500 0.2500 [4 per cell]  4 Cd 3.07, 4 Fe 3.07
Fe 0.0000 0.0000 0.5000 [4 per cell]  4 Cd 3.07, 4 Br 3.07
Br 0.2500 0.2500 0.7500 [4 per cell]  4 Cd 3.07, 4 Fe 3.07

* uncorrected formation energy: 0.600 eV/atom
* mass density: 6716 kg/m3
* DOS at the Fermi energy: 2.6 states/eV/f.u.
* offset from the most stable computed form: 471 meV/atom

(3)
DFT (PBE) results for crystalline CdFeBr at its relaxed geometry.

Lattice parameters (Å, degrees): 3.4000 3.4000 6.4705 90.00 90.00 120.00
With the nearest neighbours (Å) after each atom.
Space group P3m1 (No. 156)
Unique sites:
Cd 0.0000 0.0000 0.0000 [1 per cell]  3 Fe 2.77
Fe 0.3333 0.6667 0.3012 [1 per cell]  3 Br 2.53, 3 Cd 2.77
Br 0.6667 0.3333 0.5475 [1 per cell]  3 Fe 2.53

* uncorrected formation energy: 0.145 eV/atom
* mass density: 6361 kg/m3
* DOS at the Fermi energy: 1.4 states/eV/f.u.
* offset from the most stable computed form: 0 meV/atom

(4)
DFT (PBE) results for crystalline CdFe2Br at its relaxed geometry.

Lattice parameters (Å, degrees): 3.0075 5.4678 8.9576 90.00 90.00 90.00
With the nearest neighbours (Å) after each atom.
Space group Immm (No. 71)
Unique sites:
Cd 0.0000 0.0000 0.0000 [2 per cell]  4 Fe 2.80, 2 Cd 3.01, 4 Br 3.12
Fe 0.0000 0.5000 0.2359 [4 per cell]  2 Br 2.59, 2 Cd 2.80
Br 0.0000 0.0000 0.5000 [2 per cell]  4 Fe 2.59

* uncorrected formation energy: 0.660 eV/atom
* mass density: 6854 kg/m3
* DOS at the Fermi energy: 3.3 states/eV/f.u.
* offset from the most stable computed form: 416 meV/atom

(5)
DFT (PBE) results for crystalline CdFe2Br at its relaxed geometry.

Lattice parameters (Å, degrees): 3.1792 3.1792 25.9169 90.00 90.00 120.00
With the nearest neighbours (Å) after each atom.
Space group R3m (No. 160, hexagonal axes)
Unique sites:
Cd 0.0000 0.0000 0.0000 [3 per cell]  3 Fe 2.82
Fe 0.0000 0.0000 0.4786 [3 per cell]  3 Fe 2.46, 3 Br 2.56
Fe 0.0000 0.0000 0.7490 [3 per cell]  3 Fe 2.46
Br 0.0000 0.0000 0.2141 [3 per cell]  3 Fe 2.56

* uncorrected formation energy: 0.268 eV/atom
* mass density: 6676 kg/m3
* DOS at the Fermi energy: 2.6 states/eV/f.u.
* offset from the most stable computed form: 24 meV/atom

(6)
DFT (PBE) results for crystalline Cd2FeBr at its relaxed geometry.

Lattice parameters (Å, degrees): 7.1946 7.1946 7.1946 90.00 90.00 90.00
With the nearest neighbours (Å) after each atom.
Space group Fm-3m (No. 225)
Unique sites:
Cd 0.2500 0.2500 0.2500 [8 per cell]  4 Fe 3.12, 4 Br 3.12
Fe 0.0000 0.0000 0.0000 [4 per cell]  8 Cd 3.12
Br 0.0000 0.0000 0.5000 [4 per cell]  8 Cd 3.12

* uncorrected formation energy: 0.667 eV/atom
* mass density: 6431 kg/m3
* DOS at the Fermi energy: 6.0 states/eV/f.u.
* offset from the most stable computed form: 538 meV/atom

(7)
DFT (PBE) results for crystalline CdFe2Br at its relaxed geometry.

Lattice parameters (Å, degrees): 3.4754 3.4754 6.2769 90.00 90.00 90.00
With the nearest neighbours (Å) after each atom.
Space group P4/mmm (No. 123)
Unique sites:
Cd 0.0000 0.0000 0.0000 [1 per cell]  8 Fe 2.72
Fe 0.5000 0.5000 0.1876 [2 per cell]  1 Fe 2.35
Br 0.0000 0.0000 0.5000 [1 per cell]  2 Cd 3.14, 8 Fe 3.14, 4 Br 3.48

* uncorrected formation energy: 0.580 eV/atom
* mass density: 6658 kg/m3
* DOS at the Fermi energy: 4.7 states/eV/f.u.
* offset from the most stable computed form: 336 meV/atom

(8)
DFT (PBE) results for crystalline Cd3FeBr at its relaxed geometry.

Lattice parameters (Å, degrees): 5.2205 5.2205 5.2205 90.00 90.00 90.00
With the nearest neighbours (Å) after each atom.
Space group Pm-3m (No. 221)
Unique sites:
Cd 0.0000 0.0000 0.5000 [3 per cell]  2 Fe 2.61
Fe 0.0000 0.0000 0.0000 [1 per cell]  6 Cd 2.61
Br 0.5000 0.5000 0.5000 [1 per cell]  12 Cd 3.69

* uncorrected formation energy: 0.352 eV/atom
* mass density: 5520 kg/m3
* DOS at the Fermi energy: 4.3 states/eV/f.u.
* offset from the most stable computed form: 0 meV/atom

(9)
DFT (PBE) results for crystalline CdFe2Br at its relaxed geometry.

Lattice parameters (Å, degrees): 3.2376 3.1567 7.4631 90.00 90.17 90.00
With the nearest neighbours (Å) after each atom.
Space group Pm (No. 6)
Unique sites:
Cd 0.0000 0.0000 0.0000 [1 per cell]  5 Fe 2.81-2.84
Fe 0.4986 0.5000 0.7697 [1 per cell]  4 Fe 2.51
Fe 0.9977 0.0000 0.6240 [1 per cell]  2 Br 2.49, 4 Fe 2.51
Br 0.0008 0.5000 0.3655 [1 per cell]  2 Fe 2.49

* uncorrected formation energy: 0.244 eV/atom
* mass density: 6618 kg/m3
* DOS at the Fermi energy: 2.4 states/eV/f.u.
* offset from the most stable computed form: 0 meV/atom

(10)
DFT (PBE) results for crystalline CdFe4Br2 at its relaxed geometry.

Lattice parameters (Å, degrees): 4.9809 4.9809 13.0372 90.00 90.00 90.00
With the nearest neighbours (Å) after each atom.
Space group I4/mmm (No. 139)
Unique sites:
Cd 0.0000 0.0000 0.0000 [2 per cell]  6 Fe 2.49-2.56
Fe 0.0000 0.0000 0.1963 [4 per cell]  1 Br 2.36, 1 Cd 2.56
Fe 0.0000 0.5000 0.0000 [4 per cell]  2 Cd 2.49
Br 0.0000 0.0000 0.3776 [4 per cell]  1 Fe 2.36

* uncorrected formation energy: 1.228 eV/atom
* mass density: 5089 kg/m3
* DOS at the Fermi energy: 13.2 states/eV/f.u.

(11)
DFT (PBE) results for crystalline Cd2FeBr at its relaxed geometry.

Lattice parameters (Å, degrees): 9.9077 3.2366 6.5991 90.00 103.16 90.00
With the nearest neighbours (Å) after each atom.
Space group Cm (No. 8)
Unique sites:
Cd 0.0000 0.0000 0.0000 [2 per cell]  2 Fe 2.70, 1 Br 2.89
Cd 0.2436 0.0000 0.7793 [2 per cell]  3 Fe 2.82, 3 Cd 3.08-3.09
Fe 0.0043 0.5000 0.6736 [2 per cell]  2 Br 2.50, 2 Cd 2.70
Br 0.4109 0.5000 0.3878 [2 per cell]  2 Fe 2.50

* uncorrected formation energy: 0.129 eV/atom
* mass density: 5811 kg/m3
* DOS at the Fermi energy: 1.5 states/eV/f.u.
* offset from the most stable computed form: 0 meV/atom

(12)
DFT (PBE) results for crystalline Cd2FeBr at its relaxed geometry.

Lattice parameters (Å, degrees): 4.1946 4.1946 9.9233 90.00 90.00 90.00
With the nearest neighbours (Å) after each atom.
Space group I-4m2 (No. 119)
Unique sites:
Cd 0.0000 0.0000 0.0000 [2 per cell]  4 Br 2.97, 4 Cd 3.25, 4 Fe 3.25
Cd 0.0000 0.5000 0.2500 [2 per cell]  4 Fe 2.97, 4 Cd 3.25, 4 Br 3.25
Fe 0.0000 0.5000 0.7500 [2 per cell]  8 Cd 2.97-3.25, 4 Br 3.25
Br 0.0000 0.0000 0.5000 [2 per cell]  8 Cd 2.97-3.25, 4 Fe 3.25

* uncorrected formation energy: 0.469 eV/atom
* mass density: 6858 kg/m3
* DOS at the Fermi energy: 2.7 states/eV/f.u.
* offset from the most stable computed form: 340 meV/atom

(13)
DFT (PBE) results for crystalline Cd2FeBr at its relaxed geometry.

Lattice parameters (Å, degrees): 4.0026 4.0026 10.9378 90.00 90.00 90.00
With the nearest neighbours (Å) after each atom.
Space group I4/mmm (No. 139)
Unique sites:
Cd 0.0000 0.5000 0.2500 [4 per cell]  4 Cd 2.83
Fe 0.0000 0.0000 0.0000 [2 per cell]  4 Br 2.83
Br 0.0000 0.0000 0.5000 [2 per cell]  4 Fe 2.83

* uncorrected formation energy: 0.456 eV/atom
* mass density: 6834 kg/m3
* DOS at the Fermi energy: 5.6 states/eV/f.u.
* offset from the most stable computed form: 326 meV/atom